Below is a relaxed NpMoH2O6 crystal, with properties calculated at the PBE with a Hubbard U level.

Cell lengths 5.0715, 5.1766, 5.6603 Å; angles 63.22, 67.94, 65.14 degrees
Fractional positions:
1 Np 0.0000 0.0000 0.0000
2 Mo 0.5000 0.5000 0.5000
3 H 0.3953 0.2201 0.2732
4 H 0.6047 0.7799 0.7268
5 O 0.1288 0.3609 0.7631
6 O 0.2525 0.8839 0.2561
7 O 0.4288 0.7356 0.7379
8 O 0.5712 0.2644 0.2621
9 O 0.7475 0.1161 0.7439
10 O 0.8712 0.6391 0.2369

Values from the calculation:
**Total magnetization**: 0.30 μB/atom
**Final energy**: -75.245 eV for the cell shown
**N(E_F)**: 0.98 states/eV/f.u.
**Space group**: No. 2